Record 1
VASP calculation (PBE) on a relaxed Rb2MgNp3O12 crystal.

a = 7.9119 Å, b = 7.9119 Å, c = 17.7911 Å
α = 90.00°, β = 90.00°, γ = 120.00°
Space group R-3m (No. 166, hexagonal axes)
Unique sites:
Rb  0.0000  0.0000  0.1254
Mg  0.0000  0.0000  0.5000
Np  0.0000  0.5000  0.0000
O  0.0751  0.5376  0.3583
O  0.0791  0.5395  0.1016

Computed properties:
Formation energy without anion corrections ... -248.0 kJ/mol of atoms
Magnetization ... 3.0 μB/cell

Record 2
VASP calculation (PBE) on a relaxed TlAgP2O8 crystal.

a = 4.9932 Å, b = 4.9932 Å, c = 22.0726 Å
α = 90.00°, β = 90.00°, γ = 120.00°
Space group R32 (No. 155, hexagonal axes)
Unique sites:
Tl  0.0000  0.0000  0.0000
Ag  0.0000  0.0000  0.5000
P  0.0000  0.0000  0.2490
O  0.0000  0.0000  0.1786
O  0.0088  0.3006  0.2702

Computed properties:
Formation energy without anion corrections ... -120.2 kJ/mol of atoms
Magnetization ... 6.1 μB/cell